Material: CrCdW2
Method: DFT, GGA-PBE
State: relaxed

Cell lengths 3.212, 3.212, 6.312 Å; angles 90.00, 90.00, 90.00 degrees
Positions (direct):
1 Cd 0.500 0.500 0.250
2 Cr 0.500 0.500 0.750
3 W 0.000 0.000 0.952
4 W 0.000 0.000 0.548

Summary:
- Total energy: -34.23 eV per cell
- Calculated volume: 16.28 Å³/atom



Material: CrCdW2
Method: DFT, GGA-PBE
State: relaxed

Cell lengths 2.728, 2.728, 9.149 Å; angles 90.00, 90.00, 109.55 degrees
Positions (direct):
1 Cd 0.500 0.500 0.250
2 Cr 0.500 0.500 0.750
3 W 0.000 0.000 0.972
4 W 0.000 0.000 0.528

Summary:
- Total energy: -34.89 eV per cell
- Calculated volume: 16.04 Å³/atom



Material: CrCdW2
Method: DFT, GGA-PBE
State: relaxed

Cell lengths 5.121, 5.121, 2.684 Å; angles 90.00, 90.00, 115.03 degrees
Positions (direct):
1 Cd 0.500 0.000 0.500
2 Cr 0.000 0.500 0.500
3 W 0.000 0.000 0.000
4 W 0.500 0.500 0.000

Summary:
- Total energy: -33.80 eV per cell
- Calculated volume: 15.94 Å³/atom



Material: CrCdW2
Method: DFT, GGA-PBE
State: relaxed

Cell lengths 3.804, 3.804, 10.255 Å; angles 79.31, 79.31, 90.00 degrees
Each line ends with the local moment (μB).
Positions (direct):
1 Cr 0.500 0.500 0.000  3.00
2 Cr 0.250 0.750 0.500  3.01
3 W 0.612 0.125 0.250  -0.13
4 W 0.138 0.625 0.250  -0.12
5 W 0.375 0.388 0.750  -0.14
6 W 0.875 0.862 0.750  -0.12
7 Cd 0.000 0.000 0.000  0.02
8 Cd 0.750 0.250 0.500  0.01

Summary:
- Total energy: -64.24 eV per cell
- Calculated volume: 17.90 Å³/atom



no.,energy relative to the elements (meV/atom)
1,553.3
2,389.1
3,661.4
4,1081.4